1.
# Li4UPa3Te8, relaxed, DFT PBE
data_Li4UPa3Te8
_chemical_formula_sum 'Li12 U3 Pa9 Te24'
_space_group_name_H-M_alt 'R -3 m'
_space_group_IT_number 166
_space_group_name_Hall '-R 3 2"'
_cell_length_a 8.4417
_cell_length_b 8.4417
_cell_length_c 22.0689
_cell_angle_alpha 90.00
_cell_angle_beta 90.00
_cell_angle_gamma 120.00
loop_
_atom_site_label
_atom_site_type_symbol
_atom_site_fract_x
_atom_site_fract_y
_atom_site_fract_z
Li1 Li 0.0000 0.0000 0.0000
Li2 Li 0.0000 0.5000 0.0000
U1 U 0.0000 0.0000 0.5000
Pa1 Pa 0.0000 0.5000 0.5000
Te1 Te 0.0000 0.0000 0.2553
Te2 Te 0.0008 0.5004 0.7453
# D(E_F): 1.0991 states/eV/atom
# raw formation energy: -0.8275 eV/atom
# crystal system: trigonal
# total energy: -5.3628 eV/atom

=====

2.
# Li3U2PaTe6, relaxed, DFT PBE
data_Li3U2PaTe6
_chemical_formula_sum 'Li6 U4 Pa2 Te12'
_space_group_name_H-M_alt 'C 1 2/m 1'
_space_group_IT_number 12
_cell_length_a 7.354
_cell_length_b 12.736
_cell_length_c 7.695
_cell_angle_alpha 90.00
_cell_angle_beta 108.58
_cell_angle_gamma 90.00
loop_
_space_group_symop_operation_xyz
'x,y,z'
'-x,-y,-z'
'-x,y,-z'
'x,-y,z'
'x+1/2,y+1/2,z'
'-x+1/2,-y+1/2,-z'
'-x+1/2,y+1/2,-z'
'x+1/2,-y+1/2,z'
loop_
_atom_site_label
_atom_site_type_symbol
_atom_site_fract_x
_atom_site_fract_y
_atom_site_fract_z
Li1 Li 0.000 0.000 0.000
Li2 Li 0.000 0.332 0.000
U1 U 0.000 0.167 0.500
Pa1 Pa 0.000 0.500 0.500
Te1 Te 0.244 0.500 0.237
Te2 Te 0.246 0.166 0.237
# D(E_F): 0.7840 states/eV/atom
# raw formation energy: -0.7961 eV/atom
# crystal system: monoclinic
# total energy: -5.5181 eV/atom